The following is a DFT calculation (PBE) of crystalline Rb2Tl12Au7 at its relaxed geometry.

Cell: 12.0891 12.0891 4.7545 Å, 90.00 90.00 120.00°
Space group P-6 (No. 174)
Symmetry-distinct sites (fractional):
Rb 0.0000 0.0000 0.0000 (multiplicity 1)
Rb 0.3333 0.6667 0.5000 (multiplicity 1)
Tl 0.0455 0.2745 0.5000 (multiplicity 3)
Tl 0.1135 0.7127 0.0000 (multiplicity 3)
Tl 0.3881 0.1872 0.0000 (multiplicity 3)
Tl 0.5523 0.4375 0.5000 (multiplicity 3)
Au 0.0676 0.4492 0.0000 (multiplicity 3)
Au 0.2623 0.2272 0.5000 (multiplicity 3)
Au 0.6667 0.3333 0.0000 (multiplicity 1)

As for the volume: 601.8 Å³/f.u. The calculation puts the spin magnetization at 0.0 μB/cell. Its formation energy is -2.140 eV/f.u. Its electronic total energy is -55.41 eV per cell.